Entry 1:
# SmDy4Y5

Crystalline SmDy4Y5 at its relaxed geometry (PBE, Alexandria via LeMat-Bulk).

## Properties
The value obtained for the energy of formation is 0.303 eV per atom. The total magnetization comes out at 0.00 μB/f.u. For the energy, the calculation gives -52.418 eV/f.u. As for the calculated density: 6.26 g/cm³.

abc: 10.2455 10.2455 6.2950
angles: 90.00 90.00 90.00
Space group I4 (No. 79)
Unique sites:
Sm  0.0000  0.0000  0.0000
Dy  0.0497  0.6495  0.2308
Y  0.0000  0.0000  0.4558
Y  0.1468  0.7662  0.7297



Entry 2:
# Ho2CdTe

Crystalline Ho2CdTe at its relaxed geometry (PBE, Alexandria via LeMat-Bulk).

## Properties
The total magnetization comes out at 0.00 μB/f.u. For the energy, the calculation gives -14.274 eV/f.u. The relative energy among the computed polymorphs comes out at 1.602 eV per formula unit. As for the calculated density: 7.01 g/cm³.

abc: 3.8888 3.8888 30.9085
angles: 90.00 90.00 120.00
Space group R-3m (No. 166, hexagonal axes)
Unique sites:
Ho  0.0000  0.0000  0.1015
Cd  0.0000  0.0000  0.0000
Te  0.0000  0.0000  0.5000



Entry 3:
# Ca2SeO6

Crystalline Ca2SeO6 at its relaxed geometry (PBE, Alexandria via LeMat-Bulk).

## Properties
The total magnetization comes out at 2.05 μB/f.u. For the energy, the calculation gives -50.620 eV/f.u. As for the calculated density: 3.40 g/cm³.

abc: 5.0092 5.0092 9.9366
angles: 90.00 90.00 90.00
Space group P4_2/mnm (No. 136)
Unique sites:
Ca  0.0000  0.0000  0.1672
Se  0.0000  0.0000  0.5000
O  0.1758  0.1758  0.3683
O  0.2483  0.2483  0.0000



Repeat the third record exactly.
# Ca2SeO6

Crystalline Ca2SeO6 at its relaxed geometry (PBE, Alexandria via LeMat-Bulk).

## Properties
The total magnetization comes out at 2.05 μB/f.u. For the energy, the calculation gives -50.620 eV/f.u. As for the calculated density: 3.40 g/cm³.

abc: 5.0092 5.0092 9.9366
angles: 90.00 90.00 90.00
Space group P4_2/mnm (No. 136)
Unique sites:
Ca  0.0000  0.0000  0.1672
Se  0.0000  0.0000  0.5000
O  0.1758  0.1758  0.3683
O  0.2483  0.2483  0.0000